Record 1
DFT (GGA-PBE) results for crystalline Fe2AsRh at its relaxed geometry.

## Properties
As for the total magnetic moment: 5.06 μB/cell. Its space group is R3m, No. 160. The value obtained for the density of states at the Fermi level is 2.30 states/eV per cell. The calculation puts the energy of formation from the pure elements at 0.068 eV per atom. The uncorrected energy comes out at -7.164 eV per atom.

Cell: 7.9471 7.9471 7.9471 Å, 20.67 20.67 20.67°
Positions (direct):
Fe 0.9995 0.9995 0.9995
Fe 0.2542 0.2542 0.2542
Rh 0.4998 0.4998 0.4998
As 0.7464 0.7464 0.7464

---

Record 2
DFT (GGA-PBE) results for crystalline FeAs2Rh at its relaxed geometry.

## Properties
As for the total magnetic moment: 0.95 μB/cell. Its space group is R-3m, No. 166. The value obtained for the density of states at the Fermi level is 3.04 states/eV per cell. The calculation puts the energy of formation from the pure elements at -0.065 eV per atom. The uncorrected energy comes out at -6.343 eV per atom.

Cell: 7.6634 7.6634 7.6634 Å, 22.48 22.48 22.48°
Positions (direct):
As 0.5051 0.5051 0.5051
As 0.9949 0.9949 0.9949
Rh 0.7500 0.7500 0.7500
Fe 0.2500 0.2500 0.2500

---

Record 3
DFT (GGA-PBE) results for crystalline Fe2AsRh at its relaxed geometry.

## Properties
As for the total magnetic moment: 5.50 μB/cell. Its space group is P2/m, No. 10. The value obtained for the density of states at the Fermi level is 2.82 states/eV per cell. The calculation puts the energy of formation from the pure elements at -0.002 eV per atom. The uncorrected energy comes out at -7.233 eV per atom.

Cell: 3.8939 2.7610 5.5159 Å, 65.10 90.00 90.00°
Positions (direct):
As 0.5000 0.7500 0.7500
Fe 0.0000 0.5376 0.5035
Fe 0.0000 0.9624 0.9965
Rh 0.5000 0.2500 0.2500

---

Record 4
DFT (GGA-PBE) results for crystalline Fe3AsRh at its relaxed geometry.

## Properties
As for the total magnetic moment: 10.74 μB/cell. Its space group is Pm-3m, No. 221. The value obtained for the density of states at the Fermi level is 5.85 states/eV per cell. The value obtained for the energy relative to the lowest polymorph listed for this composition is 335.5 meV/atom. The calculation puts the energy of formation from the pure elements at 1.163 eV per atom. The uncorrected energy comes out at -6.315 eV per atom.

Cell: 4.6055 4.6055 4.6055 Å, 90.00 90.00 90.00°
Positions (direct):
Fe 0.0000 0.0000 0.5000
Fe 0.0000 0.5000 0.0000
Fe 0.5000 0.0000 0.0000
Rh 0.0000 0.0000 0.0000
As 0.5000 0.5000 0.5000